Record 1
Material: TaTcHg
Method: DFT, GGA-PBE
State: relaxed

It has space group Imm2 (No. 44), with a = 2.798 Å, b = 4.300 Å, c = 8.715 Å, α = 90.00°, β = 90.00° and γ = 90.00°. The asymmetric unit holds Ta at (0.000, 0.000, 0.000), Tc at (0.000, 0.000, 0.664) and Hg at (0.000, 0.000, 0.329).

Its formation energy is 309 meV/atom.

***

Record 2
Material: NaTiAl
Method: DFT, GGA-PBE
State: relaxed

It has space group Pm (No. 6), with a = 2.932 Å, b = 3.784 Å, c = 11.836 Å, α = 90.00°, β = 90.04° and γ = 90.00°. The asymmetric unit holds Na at (0.000, 0.000, 0.000), Na at (0.498, 0.500, 0.251), Ti at (0.000, 0.000, 0.458), Ti at (0.000, 0.000, 0.696), Al at (0.500, 0.500, 0.574) and Al at (0.500, 0.500, 0.814).

Its formation energy is 47 meV/atom.

***

Record 3
Material: PmUIr2
Method: DFT, GGA-PBE
State: relaxed

It has space group P2_1/m (No. 11), with a = 5.744 Å, b = 4.240 Å, c = 7.628 Å, α = 90.00°, β = 109.36° and γ = 90.00°. The asymmetric unit holds Pm at (0.228, 0.250, 0.434), U at (0.214, 0.250, 0.926), Ir at (0.296, 0.750, 0.168) and Ir at (0.330, 0.750, 0.743).

Its formation energy is -647 meV/atom.

***

Record 4
Material: Ac5Cd2CoN
Method: DFT, GGA-PBE
State: relaxed

It has space group Cmc2_1 (No. 36), with a = 4.155 Å, b = 19.744 Å, c = 14.841 Å, α = 90.00°, β = 90.00° and γ = 90.00°. The asymmetric unit holds Ac at (0.000, 0.004, 0.000), Ac at (0.000, 0.154, 0.208), Ac at (0.000, 0.182, 0.592), Ac at (0.000, 0.217, 0.860), Ac at (0.000, 0.452, 0.227), Cd at (0.000, 0.360, 0.521), Cd at (0.000, 0.392, 0.887), Co at (0.000, 0.292, 0.228) and N at (0.000, 0.057, 0.637).

The uncorrected formation energy is -0.362 eV/atom.

***

Record 5
Material: Sr2LiSbSe4
Method: DFT, GGA-PBE
State: relaxed

It has space group Imma (No. 74), with a = 8.463 Å, b = 8.679 Å, c = 11.975 Å, α = 90.00°, β = 90.00° and γ = 90.00°. The asymmetric unit holds Sr at (0.000, 0.000, 0.000), Sr at (0.250, 0.250, 0.250), Li at (0.000, 0.000, 0.500), Sb at (0.250, 0.250, 0.750), Se at (0.000, 0.015, 0.740) and Se at (0.238, 0.250, 0.508).

The uncorrected formation energy is -1.283 eV/atom.

***

Record 6
Material: Mg3AlCd6
Method: DFT, GGA-PBE
State: relaxed

It has space group Cmcm (No. 63), with a = 10.592 Å, b = 11.284 Å, c = 7.546 Å, α = 90.00°, β = 90.00° and γ = 90.00°. The asymmetric unit holds Mg at (0.000, 0.187, 0.250), Mg at (0.157, 0.446, 0.250), Al at (0.000, 0.145, 0.750), Cd at (0.000, 0.366, 0.558), Cd at (0.139, 0.000, 0.000) and Cd at (0.250, 0.250, 0.000).

Its formation energy is 24 meV/atom.

***

no.,total DFT energy (no corrections) (eV/atom)
1,-7.197
2,-4.272
3,-9.088
4,-4.562
5,-4.200
6,-1.378